1.
Entry from Alexandria: a geometry-optimized Ho2CdPt3 structure (PBE).

CIF file:
```
data_Ho2CdPt3
_chemical_formula_sum 'Ho8 Cd4 Pt12'
_space_group_name_H-M_alt 'P n m a'
_space_group_IT_number 62
_space_group_name_Hall '-P 2ac 2n'
_cell_length_a 7.453
_cell_length_b 3.809
_cell_length_c 17.435
_cell_angle_alpha 90.00
_cell_angle_beta 90.00
_cell_angle_gamma 90.00
loop_
_atom_site_label
_atom_site_type_symbol
_atom_site_fract_x
_atom_site_fract_y
_atom_site_fract_z
Ho1 Ho 0.096 0.250 0.215
Ho2 Ho 0.150 0.250 0.429
Cd1 Cd 0.009 0.750 0.064
Pt1 Pt 0.086 0.250 0.659
Pt2 Pt 0.209 0.250 0.810
Pt3 Pt 0.225 0.750 0.554
```

## Properties
Formation energy in eV/f.u.: -5.890



2.
Entry from Alexandria: a geometry-optimized Ho4CdPt2 structure (PBE).

CIF file:
```
data_Ho4CdPt2
_chemical_formula_sum 'Ho12 Cd3 Pt6'
_space_group_name_H-M_alt 'R -3 m'
_space_group_IT_number 166
_space_group_name_Hall '-R 3 2"'
_cell_length_a 4.6928
_cell_length_b 4.6928
_cell_length_c 29.2039
_cell_angle_alpha 90.00
_cell_angle_beta 90.00
_cell_angle_gamma 120.00
loop_
_atom_site_label
_atom_site_type_symbol
_atom_site_fract_x
_atom_site_fract_y
_atom_site_fract_z
Ho1 Ho 0.0000 0.0000 0.1104
Ho2 Ho 0.0000 0.0000 0.2986
Cd1 Cd 0.0000 0.0000 0.5000
Pt1 Pt 0.0000 0.0000 0.4006
```

## Properties
Formation energy in eV/f.u.: -5.257



3.
Entry from Alexandria: a geometry-optimized Ho4CdPt3 structure (PBE).

CIF file:
```
data_Ho4CdPt3
_chemical_formula_sum 'Ho4 Cd1 Pt3'
_space_group_name_H-M_alt 'P 4/m m m'
_space_group_IT_number 123
_space_group_name_Hall '-P 4 2'
_cell_length_a 4.989
_cell_length_b 4.989
_cell_length_c 7.071
_cell_angle_alpha 90.00
_cell_angle_beta 90.00
_cell_angle_gamma 90.00
loop_
_atom_site_label
_atom_site_type_symbol
_atom_site_fract_x
_atom_site_fract_y
_atom_site_fract_z
Ho1 Ho 0.000 0.500 0.239
Cd1 Cd 0.000 0.000 0.500
Pt1 Pt 0.000 0.000 0.000
Pt2 Pt 0.500 0.500 0.000
Pt3 Pt 0.500 0.500 0.500
```

## Properties
Formation energy in eV/f.u.: -7.978



4.
Entry from Alexandria: a geometry-optimized Ho7Cd2Pt2 structure (PBE).

CIF file:
```
data_Ho7Cd2Pt2
_chemical_formula_sum 'Ho14 Cd4 Pt4'
_space_group_name_H-M_alt 'C m m m'
_space_group_IT_number 65
_space_group_name_Hall '-C 2 2'
_cell_length_a 8.140
_cell_length_b 10.910
_cell_length_c 7.098
_cell_angle_alpha 90.00
_cell_angle_beta 90.00
_cell_angle_gamma 90.00
loop_
_atom_site_label
_atom_site_type_symbol
_atom_site_fract_x
_atom_site_fract_y
_atom_site_fract_z
Ho1 Ho 0.000 0.000 0.000
Ho2 Ho 0.000 0.500 0.248
Ho3 Ho 0.250 0.250 0.254
Cd1 Cd 0.175 0.000 0.500
Pt1 Pt 0.000 0.287 0.000
```

## Properties
Formation energy in eV/f.u.: -5.361



5.
Entry from Alexandria: a geometry-optimized HoCd2Pt9 structure (PBE).

CIF file:
```
data_HoCd2Pt9
_chemical_formula_sum 'Ho1 Cd2 Pt9'
_space_group_name_H-M_alt 'P 4/m m m'
_space_group_IT_number 123
_space_group_name_Hall '-P 4 2'
_cell_length_a 4.068
_cell_length_b 4.068
_cell_length_c 12.187
_cell_angle_alpha 90.00
_cell_angle_beta 90.00
_cell_angle_gamma 90.00
loop_
_atom_site_label
_atom_site_type_symbol
_atom_site_fract_x
_atom_site_fract_y
_atom_site_fract_z
Ho1 Ho 0.000 0.000 0.000
Cd1 Cd 0.000 0.000 0.337
Pt1 Pt 0.000 0.500 0.171
Pt2 Pt 0.000 0.500 0.500
Pt3 Pt 0.500 0.500 0.000
Pt4 Pt 0.500 0.500 0.335
```

## Properties
Formation energy in eV/f.u.: -5.619
Distance to the lowest polymorph of the same formula in eV/atom: 0.000



6.
Entry from Alexandria: a geometry-optimized HoCdPt structure (PBE).

CIF file:
```
data_HoCdPt
_chemical_formula_sum 'Ho4 Cd4 Pt4'
_space_group_name_H-M_alt 'P 42/m'
_space_group_IT_number 84
_space_group_name_Hall '-P 4c'
_cell_length_a 8.047
_cell_length_b 8.047
_cell_length_c 4.373
_cell_angle_alpha 90.00
_cell_angle_beta 90.00
_cell_angle_gamma 90.00
loop_
_atom_site_label
_atom_site_type_symbol
_atom_site_fract_x
_atom_site_fract_y
_atom_site_fract_z
Ho1 Ho 0.074 0.705 0.000
Cd1 Cd 0.350 0.376 0.000
Pt1 Pt 0.132 0.391 0.500
```

## Properties
Formation energy in eV/f.u.: -2.080



7.
Entry from Alexandria: a geometry-optimized Ho3Cd2Pt structure (PBE).

CIF file:
```
data_Ho3Cd2Pt
_chemical_formula_sum 'Ho3 Cd2 Pt1'
_space_group_name_H-M_alt 'P -3 m 1'
_space_group_IT_number 164
_space_group_name_Hall '-P 3 2"'
_cell_length_a 5.1158
_cell_length_b 5.1158
_cell_length_c 6.3211
_cell_angle_alpha 90.00
_cell_angle_beta 90.00
_cell_angle_gamma 120.00
loop_
_atom_site_label
_atom_site_type_symbol
_atom_site_fract_x
_atom_site_fract_y
_atom_site_fract_z
Ho1 Ho 0.0000 0.0000 0.0000
Ho2 Ho 0.3333 0.6667 0.6434
Cd1 Cd 0.3333 0.6667 0.1411
Pt1 Pt 0.0000 0.0000 0.5000
```

## Properties
Formation energy in eV/f.u.: -3.664
Distance to the lowest polymorph of the same formula in eV/atom: 0.000



8.
Entry from Alexandria: a geometry-optimized HoCdPt2 structure (PBE).

CIF file:
```
data_HoCdPt2
_chemical_formula_sum 'Ho1 Cd1 Pt2'
_space_group_name_H-M_alt 'P 4/m m m'
_space_group_IT_number 123
_space_group_name_Hall '-P 4 2'
_cell_length_a 3.575
_cell_length_b 3.575
_cell_length_c 6.021
_cell_angle_alpha 90.00
_cell_angle_beta 90.00
_cell_angle_gamma 90.00
loop_
_atom_site_label
_atom_site_type_symbol
_atom_site_fract_x
_atom_site_fract_y
_atom_site_fract_z
Ho1 Ho 0.000 0.000 0.000
Cd1 Cd 0.000 0.000 0.500
Pt1 Pt 0.500 0.500 0.256
```

## Properties
Formation energy in eV/f.u.: -3.454



9.
Entry from Alexandria: a geometry-optimized Ho6CdPt2 structure (PBE).

CIF file:
```
data_Ho6CdPt2
_chemical_formula_sum 'Ho24 Cd4 Pt8'
_space_group_name_H-M_alt 'I m m m'
_space_group_IT_number 71
_space_group_name_Hall '-I 2 2'
_cell_length_a 9.379
_cell_length_b 9.630
_cell_length_c 10.436
_cell_angle_alpha 90.00
_cell_angle_beta 90.00
_cell_angle_gamma 90.00
loop_
_atom_site_label
_atom_site_type_symbol
_atom_site_fract_x
_atom_site_fract_y
_atom_site_fract_z
Ho1 Ho 0.000 0.199 0.238
Ho2 Ho 0.199 0.500 0.171
Ho3 Ho 0.211 0.317 0.500
Cd1 Cd 0.000 0.000 0.000
Cd2 Cd 0.000 0.000 0.500
Pt1 Pt 0.000 0.338 0.000
Pt2 Pt 0.000 0.500 0.365
```

## Properties
Formation energy in eV/f.u.: -6.271



10.
Entry from Alexandria: a geometry-optimized Ho8Cd2Pt structure (PBE).

CIF file:
```
data_Ho8Cd2Pt
_chemical_formula_sum 'Ho16 Cd4 Pt2'
_space_group_name_H-M_alt 'C 1 2/m 1'
_space_group_IT_number 12
_space_group_name_Hall '-C 2y'
_cell_length_a 17.750
_cell_length_b 5.243
_cell_length_c 6.883
_cell_angle_alpha 90.00
_cell_angle_beta 108.16
_cell_angle_gamma 90.00
loop_
_atom_site_label
_atom_site_type_symbol
_atom_site_fract_x
_atom_site_fract_y
_atom_site_fract_z
Ho1 Ho 0.021 0.000 0.280
Ho2 Ho 0.091 0.500 0.934
Ho3 Ho 0.153 0.500 0.460
Ho4 Ho 0.202 0.000 0.801
Cd1 Cd 0.183 0.000 0.217
Pt1 Pt 0.000 0.500 0.500
```

## Properties
Formation energy in eV/f.u.: -3.433



11.
Entry from Alexandria: a geometry-optimized HoCdPt structure (PBE).

CIF file:
```
data_HoCdPt
_chemical_formula_sum 'Ho2 Cd2 Pt2'
_space_group_name_H-M_alt 'I 4 m m'
_space_group_IT_number 107
_space_group_name_Hall 'I 4 -2'
_cell_length_a 3.687
_cell_length_b 3.687
_cell_length_c 9.350
_cell_angle_alpha 90.00
_cell_angle_beta 90.00
_cell_angle_gamma 90.00
loop_
_atom_site_label
_atom_site_type_symbol
_atom_site_fract_x
_atom_site_fract_y
_atom_site_fract_z
Ho1 Ho 0.000 0.000 0.000
Cd1 Cd 0.000 0.000 0.686
Pt1 Pt 0.000 0.000 0.355
```

## Properties
Formation energy in eV/f.u.: -2.320



12.
Entry from Alexandria: a geometry-optimized HoCd3Pt8 structure (PBE).

CIF file:
```
data_HoCd3Pt8
_chemical_formula_sum 'Ho3 Cd9 Pt24'
_space_group_name_H-M_alt 'R 3 m'
_space_group_IT_number 160
_space_group_name_Hall 'R 3 -2"'
_cell_length_a 5.3886
_cell_length_b 5.3886
_cell_length_c 26.1706
_cell_angle_alpha 90.00
_cell_angle_beta 90.00
_cell_angle_gamma 120.00
loop_
_atom_site_label
_atom_site_type_symbol
_atom_site_fract_x
_atom_site_fract_y
_atom_site_fract_z
Ho1 Ho 0.0000 0.0000 0.0000
Cd1 Cd 0.0000 0.0000 0.3824
Cd2 Cd 0.0000 0.0000 0.5040
Cd3 Cd 0.0000 0.0000 0.8730
Pt1 Pt 0.0000 0.0000 0.1890
Pt2 Pt 0.0000 0.0000 0.6888
Pt3 Pt 0.0004 0.5002 0.4385
Pt4 Pt 0.0012 0.5006 0.9392
```

## Properties
Formation energy in eV/f.u.: -5.812